Entry 1:
The following is a DFT calculation (PBE-GGA) of a relaxed Nd2PuSi3Au12 crystal.

It has space group R-3m (No. 166, hexagonal axes), with a = 8.9745 Å, b = 8.9745 Å, c = 17.9512 Å, α = 90.00°, β = 90.00° and γ = 120.00°. The asymmetric unit holds Nd at (0.0000, 0.0000, 0.0953), Pu at (0.0000, 0.0000, 0.5000), Si at (0.0000, 0.5000, 0.0000), Au at (0.0301, 0.5150, 0.3166) and Au at (0.0401, 0.5201, 0.8640).

The energy relative to the elements, uncorrected comes out at -0.140 eV/atom. The total energy comes out at -4.554 eV per atom. The value obtained for the density of states at the Fermi level is 1.19 states/eV/atom.



Entry 2:
The following is a DFT calculation (PBE-GGA) of a relaxed LaNdMg crystal.

It has space group Cmcm (No. 63), with a = 5.449 Å, b = 13.173 Å, c = 5.442 Å, α = 90.00°, β = 90.00° and γ = 90.00°. The asymmetric unit holds La at (0.000, 0.092, 0.250), Nd at (0.000, 0.404, 0.250) and Mg at (0.000, 0.249, 0.750).

The value obtained for the formation energy is -0.0547 eV/atom. The total energy comes out at -3.818 eV per atom. The energy above the most stable polymorph in this dataset comes out at 0 meV per atom. The value obtained for the density of states at the Fermi level is 1.24 states/eV/atom.



Entry 3:
The following is a DFT calculation (PBE-GGA) of a relaxed Pm2Ho3Tm4 crystal.

It has space group C2/c (No. 15), with a = 16.165 Å, b = 11.508 Å, c = 6.087 Å, α = 90.00°, β = 96.17° and γ = 90.00°. The asymmetric unit holds Pm at (0.123, 0.145, 0.322), Ho at (0.000, 0.098, 0.750), Ho at (0.164, 0.402, 0.598), Tm at (0.046, 0.360, 0.016) and Tm at (0.217, 0.138, 0.849).

The value obtained for the formation energy is 0.0985 eV/atom. The total energy comes out at -4.470 eV per atom. The value obtained for the density of states at the Fermi level is 1.39 states/eV/atom.



Entry 4:
The following is a DFT calculation (PBE-GGA) of a relaxed V3ZnHg crystal.

It has space group Pm-3m (No. 221), with a = 4.510 Å, b = 4.510 Å, c = 4.510 Å, α = 90.00°, β = 90.00° and γ = 90.00°. The asymmetric unit holds V at (0.000, 0.000, 0.500), Zn at (0.000, 0.000, 0.000) and Hg at (0.500, 0.500, 0.500).

The value obtained for the formation energy is 1.1678 eV/atom. The total energy comes out at -4.619 eV per atom. The energy above the most stable polymorph in this dataset comes out at 0 meV per atom. The value obtained for the density of states at the Fermi level is 0.93 states/eV/atom.



Entry 5:
The following is a DFT calculation (PBE-GGA) of a relaxed CeIn4Au2 crystal.

It has space group Pnma (No. 62), with a = 18.771 Å, b = 4.727 Å, c = 7.496 Å, α = 90.00°, β = 90.00° and γ = 90.00°. The asymmetric unit holds Ce at (0.140, 0.250, 0.025), In at (0.035, 0.750, 0.854), In at (0.068, 0.250, 0.487), In at (0.185, 0.750, 0.325), In at (0.189, 0.750, 0.735), Au at (0.039, 0.750, 0.241) and Au at (0.218, 0.250, 0.534).

The value obtained for the formation energy is -0.3861 eV/atom. The total energy comes out at -3.735 eV per atom. The energy above the most stable polymorph in this dataset comes out at 0 meV per atom. The value obtained for the density of states at the Fermi level is 1.17 states/eV/atom.



Entry 6:
The following is a DFT calculation (PBE-GGA) of a relaxed Pr2AgRu crystal.

It has space group R3m (No. 160, hexagonal axes), with a = 4.1259 Å, b = 4.1259 Å, c = 22.9356 Å, α = 90.00°, β = 90.00° and γ = 120.00°. The asymmetric unit holds Pr at (0.0000, 0.0000, 0.0000), Pr at (0.0000, 0.0000, 0.1962), Ag at (0.0000, 0.0000, 0.4330) and Ru at (0.0000, 0.0000, 0.5971).

The value obtained for the formation energy is -0.0623 eV/atom. The total energy comes out at -5.484 eV per atom. The value obtained for the density of states at the Fermi level is 0.61 states/eV/atom.



Entry 7:
The following is a DFT calculation (PBE-GGA) of a relaxed Ba3AlIn3 crystal.

It has space group C2/m (No. 12), with a = 13.371 Å, b = 4.726 Å, c = 17.433 Å, α = 90.00°, β = 109.11° and γ = 90.00°. The asymmetric unit holds Ba at (0.016, 0.000, 0.393), Ba at (0.111, 0.000, 0.920), Ba at (0.243, 0.000, 0.237), Al at (0.215, 0.500, 0.385), In at (0.033, 0.500, 0.237), In at (0.102, 0.500, 0.078) and In at (0.177, 0.500, 0.539).

The value obtained for the formation energy is -0.3698 eV/atom. The total energy comes out at -2.902 eV per atom. The value obtained for the density of states at the Fermi level is 0.66 states/eV/atom.



Entry 8:
The following is a DFT calculation (PBE-GGA) of a relaxed LiTa2Si crystal.

It has space group Cmm2 (No. 35), with a = 3.400 Å, b = 4.482 Å, c = 8.910 Å, α = 90.00°, β = 90.00° and γ = 90.00°. The asymmetric unit holds Li at (0.000, 0.000, 0.000), Ta at (0.000, 0.000, 0.447), Ta at (0.000, 0.500, 0.708) and Si at (0.000, 0.500, 0.222).

The energy relative to the elements, uncorrected comes out at -0.009 eV/atom. The total energy comes out at -7.770 eV per atom. The value obtained for the density of states at the Fermi level is 0.67 states/eV/atom.



Entry 9:
The following is a DFT calculation (PBE-GGA) of a relaxed TiReSn crystal.

It has space group I4/mmm (No. 139), with a = 3.078 Å, b = 3.078 Å, c = 23.749 Å, α = 90.00°, β = 90.00° and γ = 90.00°. The asymmetric unit holds Ti at (0.000, 0.000, 0.146), Re at (0.000, 0.000, 0.282) and Sn at (0.000, 0.000, 0.439).

The value obtained for the formation energy is -0.1903 eV/atom. The total energy comes out at -8.306 eV per atom. The value obtained for the density of states at the Fermi level is 0.61 states/eV/atom.



Entry 10:
The following is a DFT calculation (PBE-GGA) of a relaxed LiCeTe crystal.

It has space group P-6m2 (No. 187), with a = 4.4954 Å, b = 4.4954 Å, c = 4.2049 Å, α = 90.00°, β = 90.00° and γ = 120.00°. The asymmetric unit holds Li at (0.0000, 0.0000, 0.0000), Ce at (0.3333, 0.6667, 0.5000) and Te at (0.6667, 0.3333, 0.0000).

The energy relative to the elements, uncorrected comes out at -0.851 eV/atom. The total energy comes out at -4.514 eV per atom. The energy above the most stable polymorph in this dataset comes out at 0 meV per atom. The value obtained for the density of states at the Fermi level is 2.79 states/eV/atom.



Entry 11:
The following is a DFT calculation (PBE-GGA) of a relaxed Tb4DyY7 crystal.

It has space group P-1 (No. 2), with a = 6.527 Å, b = 6.811 Å, c = 9.092 Å, α = 85.92°, β = 76.77° and γ = 81.96°. The asymmetric unit holds Tb at (0.141, 0.313, 0.283), Tb at (0.339, 0.880, 0.693), Dy at (0.500, 0.500, 0.000), Y at (0.013, 0.251, 0.950), Y at (0.182, 0.806, 0.361), Y at (0.311, 0.392, 0.614) and Y at (0.500, 0.000, 0.000).

The value obtained for the formation energy is 0.0874 eV/atom. The total energy comes out at -5.610 eV per atom. The energy above the most stable polymorph in this dataset comes out at 0 meV per atom. The value obtained for the density of states at the Fermi level is 1.78 states/eV/atom.



Entry 12:
The following is a DFT calculation (PBE-GGA) of a relaxed ZrBeZn crystal.

It has space group Pmma (No. 51), with a = 11.265 Å, b = 3.812 Å, c = 6.334 Å, α = 90.00°, β = 90.00° and γ = 90.00°. The asymmetric unit holds Zr at (0.037, 0.000, 0.241), Zr at (0.250, 0.000, 0.868), Be at (0.092, 0.500, 0.955), Be at (0.250, 0.000, 0.438), Zn at (0.126, 0.500, 0.571) and Zn at (0.250, 0.500, 0.207).

The value obtained for the formation energy is -0.2562 eV/atom. The total energy comes out at -4.772 eV per atom. The energy above the most stable polymorph in this dataset comes out at 0 meV per atom. The value obtained for the density of states at the Fermi level is 0.32 states/eV/atom.



Which formula does entry 5 have?
CeIn4Au2